This record from Alexandria via LeMat-Bulk describes crystalline SiAs2Ru at its relaxed geometry. The functional is PBEsol.

E_form (uncorrected) = 125.1 meV per atom
Magnetization = 0.0000 μB per atom
SG = P4/mmm (123)

Cell lengths 2.998, 2.998, 6.826 Å; angles 90.00, 90.00, 90.00 degrees
Atoms (fractional coordinates):
Si1 0.000 0.000 0.000
As1 0.500 0.500 0.273
As2 0.500 0.500 0.727
Ru1 0.000 0.000 0.500